Record 1
# Mn2BeRu PBE optimized geometry
# **Symmetry**: Pmmm (47)
data_Mn2BeRu
_chemical_formula_sum 'Mn2 Be1 Ru1'
_symmetry_space_group_name_H-M 'P 1'
_symmetry_Int_Tables_number 1
_cell_length_a 3.0471
_cell_length_b 3.7568
_cell_length_c 3.9888
_cell_angle_alpha 90.00
_cell_angle_beta 90.00
_cell_angle_gamma 90.00
loop_
_symmetry_equiv_pos_as_xyz
'x,y,z'
loop_
_atom_site_label
_atom_site_type_symbol
_atom_site_fract_x
_atom_site_fract_y
_atom_site_fract_z
Mn1 Mn 0.0000 0.0000 0.0000
Mn2 Mn 0.5000 0.5000 0.0000
Ru1 Ru 0.5000 0.0000 0.5000
Be1 Be 0.0000 0.5000 0.5000

***

Record 2
# MnBe2Ru3 PBE optimized geometry
# **Symmetry**: P4/mmm (123)
data_MnBe2Ru3
_chemical_formula_sum 'Mn1 Be2 Ru3'
_symmetry_space_group_name_H-M 'P 1'
_symmetry_Int_Tables_number 1
_cell_length_a 2.8506
_cell_length_b 2.8506
_cell_length_c 8.5735
_cell_angle_alpha 90.00
_cell_angle_beta 90.00
_cell_angle_gamma 90.00
loop_
_symmetry_equiv_pos_as_xyz
'x,y,z'
loop_
_atom_site_label
_atom_site_type_symbol
_atom_site_fract_x
_atom_site_fract_y
_atom_site_fract_z
Be1 Be 0.5000 0.5000 0.8461
Be2 Be 0.5000 0.5000 0.1539
Ru1 Ru 0.0000 0.0000 0.3192
Ru2 Ru 0.0000 0.0000 0.6808
Ru3 Ru 0.0000 0.0000 0.0000
Mn1 Mn 0.5000 0.5000 0.5000

***

| no. | DOS at the Fermi energy (states/eV per atom) | total DFT energy (no corrections) (eV/cell) | ΔE_f (meV per atom) |
| --- | --- | --- | --- |
| 1 | 1.45 | -31.22 | 31 |
| 2 | 0.87 | -45.38 | -155 |